## Y3TcBi (PBE)

Data for a relaxed Y3TcBi crystal.

Computed properties:
Calculated volume   151.9 Å³/cell
E above lowest polymorph   0 meV/atom
Total magnetization   0.00 μB per formula unit
SG   Pm-3m
Energy of formation from the pure elements   -0.07 eV per atom

Cell lengths 5.3358, 5.3358, 5.3358 Å; angles 90.00, 90.00, 90.00 degrees
Fractional coordinates of all 5 atoms:
Y  0.0000  0.5000  0.0000
Y  0.0000  0.0000  0.5000
Y  0.5000  0.0000  0.0000
Bi  0.5000  0.5000  0.5000
Tc  0.0000  0.0000  0.0000

***

## YTcBi2 (PBE)

Data for a relaxed YTcBi2 crystal.

Computed properties:
Calculated volume   213.7 Å³/cell
E above lowest polymorph   312 meV/atom
Total magnetization   0.49 μB per formula unit
SG   I-42d
Energy of formation from the pure elements   0.36 eV per atom

Cell lengths 4.5279, 4.5279, 10.9047 Å; angles 78.02, 78.02, 90.00 degrees
Site moments in Bohr magnetons follow the coordinates.
Fractional coordinates of all 8 atoms:
Y  0.5000  0.5000  0.0000  -0.06
Y  0.2500  0.7500  0.5000  -0.06
Bi  0.6472  0.1250  0.2500  -0.02
Bi  0.1028  0.6250  0.2500  -0.01
Bi  0.3750  0.3528  0.7500  -0.02
Bi  0.8750  0.8972  0.7500  -0.01
Tc  0.0000  0.0000  0.0000  0.57
Tc  0.7500  0.2500  0.5000  0.57

***

## Y2Tc2Bi (PBE)

Data for a relaxed Y2Tc2Bi crystal.

Computed properties:
Calculated volume   233.0 Å³/cell
Total magnetization   0.00 μB per formula unit
SG   P4/mbm
Energy of formation from the pure elements   -0.10 eV per atom

Cell lengths 7.1623, 7.1623, 4.5416 Å; angles 90.00, 90.00, 90.00 degrees
Fractional coordinates of all 10 atoms:
Y  0.1759  0.6759  0.5000
Y  0.6759  0.8241  0.5000
Y  0.8241  0.3241  0.5000
Y  0.3241  0.1759  0.5000
Bi  0.0000  0.0000  0.0000
Bi  0.5000  0.5000  0.0000
Tc  0.3875  0.8875  0.0000
Tc  0.8875  0.6125  0.0000
Tc  0.6125  0.1125  0.0000
Tc  0.1125  0.3875  0.0000

***

## Y2TcBi (PBE)

Data for a relaxed Y2TcBi crystal.

Computed properties:
Calculated volume   208.8 Å³/cell
Total magnetization   0.00 μB per formula unit
SG   I-42d
Energy of formation from the pure elements   0.13 eV per atom

Cell lengths 8.2775, 8.2775, 6.5986 Å; angles 51.16, 51.16, 90.00 degrees
Fractional coordinates of all 8 atoms:
Y  0.5582  0.1250  0.2500
Y  0.1918  0.6250  0.2500
Y  0.3750  0.4418  0.7500
Y  0.8750  0.8082  0.7500
Bi  0.0000  0.0000  0.0000
Bi  0.7500  0.2500  0.5000
Tc  0.5000  0.5000  0.0000
Tc  0.2500  0.7500  0.5000

***

## Y4TcBi (PBE)

Data for a relaxed Y4TcBi crystal.

Computed properties:
Calculated volume   348.5 Å³/cell
Total magnetization   0.00 μB per formula unit
SG   C2/c
Energy of formation from the pure elements   -0.37 eV per atom

Cell lengths 6.2336, 8.1325, 8.1325 Å; angles 112.62, 102.88, 102.87 degrees
Fractional coordinates of all 12 atoms:
Y  0.8450  0.6534  0.7960
Y  0.0662  0.9417  0.2767
Y  0.6550  0.2040  0.3466
Y  0.4338  0.7233  0.0583
Y  0.5662  0.2767  0.9417
Y  0.3450  0.7960  0.6534
Y  0.9338  0.0583  0.7233
Y  0.1550  0.3466  0.2040
Tc  0.2500  0.0009  0.9991
Tc  0.7500  0.9991  0.0009
Bi  0.7500  0.6276  0.3724
Bi  0.2500  0.3724  0.6276

***

## YTc3Bi (PBE)

Data for a relaxed YTc3Bi crystal.

Computed properties:
Calculated volume   118.4 Å³/cell
E above lowest polymorph   473 meV/atom
Total magnetization   3.50 μB per formula unit
SG   Pm-3m
Energy of formation from the pure elements   2.07 eV per atom

Cell lengths 4.9109, 4.9109, 4.9109 Å; angles 90.00, 90.00, 90.00 degrees
Site moments in Bohr magnetons follow the coordinates.
Fractional coordinates of all 5 atoms:
Y  0.0000  0.0000  0.0000  -0.05
Bi  0.5000  0.5000  0.5000  -0.14
Tc  0.0000  0.5000  0.0000  1.10
Tc  0.0000  0.0000  0.5000  1.09
Tc  0.5000  0.0000  0.0000  1.19

***

## YTcBi2 (PBE)

Data for a relaxed YTcBi2 crystal.

Computed properties:
Calculated volume   94.1 Å³/cell
E above lowest polymorph   0 meV/atom
Total magnetization   0.04 μB per formula unit
SG   Fm-3m
Energy of formation from the pure elements   0.05 eV per atom

Cell lengths 5.1051, 5.1051, 5.1051 Å; angles 60.00, 60.00, 60.00 degrees
Site moments in Bohr magnetons follow the coordinates.
Fractional coordinates of all 4 atoms:
Y  0.0000  0.0000  0.0000  -0.02
Bi  0.2500  0.2500  0.2500  -0.01
Bi  0.7500  0.7500  0.7500  -0.01
Tc  0.5000  0.5000  0.5000  0.09

***

## YTc2Bi (PBE)

Data for a relaxed YTc2Bi crystal.

Computed properties:
Calculated volume   181.8 Å³/cell
Total magnetization   3.33 μB per formula unit
SG   I-42d
Energy of formation from the pure elements   0.90 eV per atom

Cell lengths 7.7266, 7.7266, 6.2550 Å; angles 51.86, 51.86, 90.00 degrees
Site moments in Bohr magnetons follow the coordinates.
Fractional coordinates of all 8 atoms:
Y  0.5000  0.5000  0.0000  -0.02
Y  0.2500  0.7500  0.5000  -0.03
Bi  0.0000  0.0000  0.0000  -0.03
Bi  0.7500  0.2500  0.5000  -0.02
Tc  0.6455  0.1250  0.2500  1.54
Tc  0.1045  0.6250  0.2500  1.53
Tc  0.3750  0.3545  0.7500  1.51
Tc  0.8750  0.8955  0.7500  1.52

***

## YTc3Bi (PBE)

Data for a relaxed YTc3Bi crystal.

Computed properties:
Calculated volume   124.0 Å³/cell
E above lowest polymorph   0 meV/atom
Total magnetization   2.67 μB per formula unit
SG   Pm-3m
Energy of formation from the pure elements   1.59 eV per atom

Cell lengths 4.9872, 4.9872, 4.9872 Å; angles 90.00, 90.00, 90.00 degrees
Site moments in Bohr magnetons follow the coordinates.
Fractional coordinates of all 5 atoms:
Y  0.5000  0.5000  0.5000  -0.01
Bi  0.0000  0.0000  0.0000  -0.04
Tc  0.0000  0.5000  0.0000  0.91
Tc  0.0000  0.0000  0.5000  0.97
Tc  0.5000  0.0000  0.0000  0.62

***

## ZnTc2Bi (PBE)

Data for a relaxed ZnTc2Bi crystal.

Computed properties:
Calculated volume   67.3 Å³/cell
E above lowest polymorph   0 meV/atom
Total magnetization   0.00 μB per formula unit
SG   Fm-3m
Energy of formation from the pure elements   0.53 eV per atom

Cell lengths 4.5654, 4.5654, 4.5654 Å; angles 60.00, 60.00, 60.00 degrees
Fractional coordinates of all 4 atoms:
Zn  0.0000  0.0000  0.0000
Bi  0.5000  0.5000  0.5000
Tc  0.2500  0.2500  0.2500
Tc  0.7500  0.7500  0.7500

***

## ZnTcBi3 (PBE)

Data for a relaxed ZnTcBi3 crystal.

Computed properties:
Calculated volume   151.0 Å³/cell
E above lowest polymorph   568 meV/atom
Total magnetization   3.28 μB per formula unit
SG   Pm-3m
Energy of formation from the pure elements   1.18 eV per atom

Cell lengths 5.3254, 5.3254, 5.3254 Å; angles 90.00, 90.00, 90.00 degrees
Site moments in Bohr magnetons follow the coordinates.
Fractional coordinates of all 5 atoms:
Zn  0.0000  0.0000  0.0000  0.01
Bi  0.0000  0.5000  0.0000  -0.15
Bi  0.0000  0.0000  0.5000  -0.13
Bi  0.5000  0.0000  0.0000  -0.09
Tc  0.5000  0.5000  0.5000  3.18

***

## ZnTcBi3 (PBE)

Data for a relaxed ZnTcBi3 crystal.

Computed properties:
Calculated volume   151.3 Å³/cell
E above lowest polymorph   0 meV/atom
Total magnetization   0.00 μB per formula unit
SG   Pm-3m
Energy of formation from the pure elements   0.61 eV per atom

Cell lengths 5.3290, 5.3290, 5.3290 Å; angles 90.00, 90.00, 90.00 degrees
Fractional coordinates of all 5 atoms:
Zn  0.5000  0.5000  0.5000
Bi  0.0000  0.5000  0.0000
Bi  0.0000  0.0000  0.5000
Bi  0.5000  0.0000  0.0000
Tc  0.0000  0.0000  0.0000

***

## Zn3TcBi (PBE)

Data for a relaxed Zn3TcBi crystal.

Computed properties:
Calculated volume   113.0 Å³/cell
E above lowest polymorph   0 meV/atom
Total magnetization   0.00 μB per formula unit
SG   Pm-3m
Energy of formation from the pure elements   0.70 eV per atom

Cell lengths 4.8341, 4.8341, 4.8341 Å; angles 90.00, 90.00, 90.00 degrees
Fractional coordinates of all 5 atoms:
Zn  0.0000  0.5000  0.0000
Zn  0.0000  0.0000  0.5000
Zn  0.5000  0.0000  0.0000
Bi  0.5000  0.5000  0.5000
Tc  0.0000  0.0000  0.0000